The following is a GGA-PBE calculation of BiPS2Cl after structural relaxation, from Alexandria via LeMat-Bulk.

The structure in POSCAR format:
```
BiPS2Cl
1.0
-1.689 -4.591 2.123
4.177 -0.003 3.315
-2.835 2.696 3.574
P Bi Cl S
1 1 1 2
direct
0.500 0.500 0.500 P
0.000 0.000 0.000 Bi
0.000 0.000 0.500 Cl
0.500 0.000 0.000 S
0.000 0.500 0.000 S
```

Output
Polymorph energy (0 for the lowest one) (eV/atom): 0.628
Energy relative to the elements, uncorrected (meV per atom): 755
Density of states at the Fermi level (states/eV/cell): 4.1
Volume (Å³ per cell): 151

The following is a GGA-PBE calculation of YGaPd3 after structural relaxation, from Alexandria via LeMat-Bulk.

The structure in POSCAR format:
```
YGaPd3
1.0
-0.556 1.751 4.297
3.440 -2.748 1.565
3.113 3.350 -0.962
Pd Y Ga
3 1 1
direct
0.000 0.000 0.500 Pd
0.500 0.000 0.000 Pd
0.000 0.500 0.000 Pd
0.500 0.500 0.500 Y
0.000 0.000 0.000 Ga
```

Output
Polymorph energy (0 for the lowest one) (eV/atom): 0.025
Density of states at the Fermi level (states/eV/cell): 3.0
Formation enthalpy at 0 K (meV/atom): -419.6
Volume (Å³ per cell): 102

The following is a GGA-PBE calculation of BeOsW2 after structural relaxation, from Alexandria via LeMat-Bulk.

The structure in POSCAR format:
```
BeOsW2
1.0
-2.854 -1.840 -1.734
0.453 -2.236 1.628
-3.020 -0.018 4.989
W Be Os
2 1 1
direct
0.000 0.477 0.489 W
0.000 0.023 0.011 W
0.500 0.250 0.250 Be
0.500 0.750 0.750 Os
```

Output
Density of states at the Fermi level (states/eV/cell): 2.5
Formation enthalpy at 0 K (meV/atom): 133.0
Volume (Å³ per cell): 57

The following is a GGA-PBE calculation of Pu2PaGa6 after structural relaxation, from Alexandria via LeMat-Bulk.

The structure in POSCAR format:
```
Pu2PaGa6
1.0
3.328 0.000 0.000
0.000 6.885 -3.975
0.000 0.000 7.950
Pu Ga Pa
2 6 1
direct
0.000 0.333 0.667 Pu
0.000 0.667 0.333 Pu
0.500 0.000 0.668 Ga
0.500 0.332 0.332 Ga
0.500 0.000 0.332 Ga
0.500 0.332 0.000 Ga
0.500 0.668 0.000 Ga
0.500 0.668 0.668 Ga
0.000 0.000 0.000 Pa
```

Output
Polymorph energy (0 for the lowest one) (eV/atom): 0.000
Density of states at the Fermi level (states/eV/cell): 17.8
Formation enthalpy at 0 K (meV/atom): -365.2
Volume (Å³ per cell): 182

The following is a GGA-PBE calculation of Pm3Y6Tm2Pu after structural relaxation, from Alexandria via LeMat-Bulk.

The structure in POSCAR format:
```
Pm3Y6Tm2Pu
1.0
-5.690 -2.361 -0.430
4.691 -3.564 1.851
-1.738 4.966 10.527
Tm Y Pm Pu
2 6 3 1
direct
0.667 0.333 0.000 Tm
0.333 0.667 0.000 Tm
0.248 0.248 0.755 Y
0.752 0.752 0.245 Y
0.081 0.411 0.245 Y
0.589 0.919 0.755 Y
0.919 0.589 0.755 Y
0.411 0.081 0.245 Y
0.833 0.167 0.500 Pm
0.167 0.833 0.500 Pm
0.500 0.500 0.500 Pm
0.000 0.000 0.000 Pu
```

Output
Density of states at the Fermi level (states/eV/cell): 24.0
Formation enthalpy at 0 K (meV/atom): 47.5
Volume (Å³ per cell): 383

The following is a GGA-PBE calculation of YTmMn17 after structural relaxation, from Alexandria via LeMat-Bulk.

The structure in POSCAR format:
```
YTmMn17
1.0
-1.052 5.415 3.065
3.356 -1.726 5.057
5.310 2.696 -2.085
Mn Tm Y
17 1 1
direct
0.724 0.000 0.276 Mn
0.124 0.644 0.644 Mn
0.644 0.124 0.644 Mn
0.644 0.644 0.124 Mn
0.901 0.901 0.901 Mn
0.724 0.276 0.000 Mn
0.877 0.355 0.355 Mn
0.276 0.000 0.724 Mn
0.355 0.355 0.877 Mn
0.276 0.724 0.000 Mn
0.000 0.276 0.724 Mn
0.500 0.000 0.000 Mn
0.355 0.877 0.355 Mn
0.000 0.500 0.000 Mn
0.100 0.100 0.100 Mn
0.000 0.000 0.500 Mn
0.000 0.724 0.276 Mn
0.354 0.354 0.354 Tm
0.644 0.644 0.644 Y
```

Output
Density of states at the Fermi level (states/eV/cell): 18.5
Formation enthalpy at 0 K (meV/atom): -6.0
Volume (Å³ per cell): 250